Record 1
DFT (PBE) results for a relaxed PmNd2Sb3Pt4 crystal.

## Properties
V in Å³ per atom: 23.9
Total magnetization in μB/f.u.: 0.00
Raw formation energy in kJ/mol of atoms: -88

CIF file:
```
data_PmNd2Sb3Pt4
_symmetry_space_group_name_H-M 'P -4 m 2'
_symmetry_Int_Tables_number 115
_cell_length_a 4.566
_cell_length_b 4.566
_cell_length_c 11.488
_cell_angle_alpha 90.00
_cell_angle_beta 90.00
_cell_angle_gamma 90.00
loop_
_symmetry_equiv_pos_as_xyz
'x,y,z'
'y,-x,-z'
'-x,-y,z'
'-y,x,-z'
'-x,y,z'
'-y,-x,-z'
'x,-y,z'
'y,x,-z'
loop_
_atom_site_label
_atom_site_fract_x
_atom_site_fract_y
_atom_site_fract_z
Pm1 0.000 0.000 0.000
Nd1 0.000 0.500 0.709
Sb1 0.000 0.500 0.372
Sb2 0.500 0.500 0.000
Pt1 0.000 0.000 0.500
Pt2 0.000 0.500 0.147
Pt3 0.500 0.500 0.500
```


Record 2
DFT (PBE) results for a relaxed Pm2NdSi3Pt4 crystal.

## Properties
V in Å³ per atom: 20.3
Total magnetization in μB/f.u.: 0.00
Raw formation energy in kJ/mol of atoms: -96

CIF file:
```
data_Pm2NdSi3Pt4
_symmetry_space_group_name_H-M 'P -4 m 2'
_symmetry_Int_Tables_number 115
_cell_length_a 4.288
_cell_length_b 4.288
_cell_length_c 11.022
_cell_angle_alpha 90.00
_cell_angle_beta 90.00
_cell_angle_gamma 90.00
loop_
_symmetry_equiv_pos_as_xyz
'x,y,z'
'y,-x,-z'
'-x,-y,z'
'-y,x,-z'
'-x,y,z'
'-y,-x,-z'
'x,-y,z'
'y,x,-z'
loop_
_atom_site_label
_atom_site_fract_x
_atom_site_fract_y
_atom_site_fract_z
Pm1 0.000 0.500 0.222
Nd1 0.000 0.000 0.500
Si1 0.000 0.500 0.885
Si2 0.500 0.500 0.500
Pt1 0.000 0.000 0.000
Pt2 0.000 0.500 0.670
Pt3 0.500 0.500 0.000
```


Record 3
DFT (PBE) results for a relaxed PmNd2Si3Pt12 crystal.

## Properties
V in Å³ per atom: 20.4
Total magnetization in μB/f.u.: 0.00
Raw formation energy in kJ/mol of atoms: -51

CIF file:
```
data_PmNd2Si3Pt12
_symmetry_space_group_name_H-M 'R -3 m'
_symmetry_Int_Tables_number 166
_symmetry_space_group_name_Hall '-R 3 2"'
_cell_length_a 8.3559
_cell_length_b 8.3559
_cell_length_c 18.1962
_cell_angle_alpha 90.00
_cell_angle_beta 90.00
_cell_angle_gamma 120.00
loop_
_atom_site_label
_atom_site_fract_x
_atom_site_fract_y
_atom_site_fract_z
Pm1 0.0000 0.0000 0.0000
Nd1 0.0000 0.0000 0.4030
Si1 0.0000 0.5000 0.5000
Pt1 0.0343 0.5172 0.8654
Pt2 0.0379 0.5189 0.3705
```


Record 4
DFT (PBE) results for a relaxed PmNdSi2Pt5 crystal.

## Properties
V in Å³ per atom: 18.2
Total magnetization in μB/f.u.: 0.00
Raw formation energy in kJ/mol of atoms: -100

CIF file:
```
data_PmNdSi2Pt5
_symmetry_space_group_name_H-M 'P 4/m m m'
_symmetry_Int_Tables_number 123
_symmetry_space_group_name_Hall '-P 4 2'
_cell_length_a 4.265
_cell_length_b 4.265
_cell_length_c 9.021
_cell_angle_alpha 90.00
_cell_angle_beta 90.00
_cell_angle_gamma 90.00
loop_
_atom_site_label
_atom_site_fract_x
_atom_site_fract_y
_atom_site_fract_z
Pm1 0.000 0.000 0.000
Nd1 0.000 0.000 0.500
Si1 0.500 0.500 0.134
Pt1 0.000 0.500 0.262
Pt2 0.500 0.500 0.500
```